Entry 1:
Material: LiCr2Au
Method: DFT, PBE
State: optimized geometry

Unit cell a=7.197 b=7.197 c=5.796 alpha=51.62 beta=51.62 gamma=90.00
Last column: magnetic moment on the atom in μB.
Sites, in units of the cell vectors:
Au 0.000 0.000 0.000  0.12
Cr 0.130 0.625 0.250  3.78
Au 0.750 0.250 0.500  0.12
Cr 0.875 0.870 0.750  3.78
Cr 0.375 0.380 0.750  3.78
Li 0.250 0.750 0.500  0.04
Cr 0.620 0.125 0.250  3.78
Li 0.500 0.500 0.000  0.04

Calculated values
crystal system = tetragonal

=====

Entry 2:
Material: LiCrAu2
Method: DFT, PBE
State: optimized geometry

Unit cell a=3.172 b=3.172 c=6.395 alpha=90.00 beta=90.00 gamma=90.00
Last column: magnetic moment on the atom in μB.
Sites, in units of the cell vectors:
Au 0.000 0.000 0.762  0.09
Cr 0.500 0.500 0.500  3.57
Li 0.500 0.500 0.000  0.01
Au 0.000 0.000 0.238  0.09

Calculated values
crystal system = tetragonal

=====

D(E_F) in states/eV per cell, matching the order above: 6.8 1.6
Electronic total energy in eV/atom, matching the order above: -5.40 -4.68